No. 1
{
  "formula": "SmErHfTh",
  "functional": "PBE",
  "state": "relaxed",
  "magnetic_moment_mub_per_atom": 0.0001,
  "spacegroup": "F-43m, No. 216",
  "ef_kj_per_mol_fu": 78,
  "lattice_angstrom": [[5.4764, 0.0000, 0.0000], [2.7382, 4.7427, 0.0000], [2.7382, 1.5809, 4.4714]],
  "species": ["Sm", "Er", "Hf", "Th"],
  "frac_coords": [[0.2500, 0.2500, 0.2500], [0.5000, 0.5000, 0.5000], [0.0000, 0.0000, 0.0000], [0.7500, 0.7500, 0.7500]]
}

No. 2
{
  "formula": "Er2HfSn",
  "functional": "PBE",
  "state": "relaxed",
  "magnetic_moment_mub_per_atom": 0.0000,
  "spacegroup": "P4/mmm, No. 123",
  "de_polymorph_mev_per_atom": 23,
  "ef_kj_per_mol_fu": -93,
  "lattice_angstrom": [[3.3175, 0.0000, 0.0000], [0.0000, 3.3175, 0.0000], [0.0000, 0.0000, 9.4326]],
  "species": ["Er", "Er", "Sn", "Hf"],
  "frac_coords": [[0.0000, 0.0000, 0.2498], [0.0000, 0.0000, 0.7502], [0.5000, 0.5000, 0.0000], [0.5000, 0.5000, 0.5000]]
}

No. 3
{
  "formula": "ErHfSn",
  "functional": "PBE",
  "state": "relaxed",
  "magnetic_moment_mub_per_atom": 0.0003,
  "spacegroup": "P3m1, No. 156",
  "de_polymorph_mev_per_atom": 410,
  "ef_kj_per_mol_fu": -33,
  "lattice_angstrom": [[3.4674, 0.0000, 0.0000], [0.0000, 5.0200, 0.0000], [0.0000, -2.5100, 4.3475]],
  "species": ["Hf", "Er", "Sn"],
  "frac_coords": [[0.2274, 0.3333, 0.6667], [0.6915, 0.6667, 0.3333], [0.0810, 0.0000, 0.0000]]
}

No. 4
{
  "formula": "Er2HfSn",
  "functional": "PBE",
  "state": "relaxed",
  "magnetic_moment_mub_per_atom": 0.0000,
  "spacegroup": "R-3m, No. 166",
  "de_polymorph_mev_per_atom": 366,
  "ef_kj_per_mol_fu": 39,
  "lattice_angstrom": [[-2.0324, 0.7369, 2.5888], [-2.2837, -2.2513, 1.0450], [6.2293, -4.9072, 8.4842]],
  "species": ["Sn", "Hf", "Er", "Er"],
  "frac_coords": [[0.0000, 0.0000, 0.0000], [0.5000, 0.5000, 0.5000], [0.0911, 0.0911, 0.7266], [0.9089, 0.9089, 0.2734]]
}

No. 5
{
  "formula": "ErHfSn",
  "functional": "PBE",
  "state": "relaxed",
  "magnetic_moment_mub_per_atom": 0.0000,
  "spacegroup": "I4mm, No. 107",
  "de_polymorph_mev_per_atom": 292,
  "ef_kj_per_mol_fu": -67,
  "lattice_angstrom": [[3.2709, 0.0000, 0.0000], [0.0000, 3.2709, 0.0000], [-1.6354, -1.6354, 6.9315]],
  "species": ["Hf", "Er", "Sn"],
  "frac_coords": [[0.6206, 0.6206, 0.2411], [0.9514, 0.9514, 0.9028], [0.2780, 0.2780, 0.5560]]
}

No. 6
{
  "formula": "ErHf2Sn",
  "functional": "PBE",
  "state": "relaxed",
  "magnetic_moment_mub_per_atom": 0.0000,
  "spacegroup": "P4/mmm, No. 123",
  "de_polymorph_mev_per_atom": 225,
  "ef_kj_per_mol_fu": -82,
  "lattice_angstrom": [[-1.1135, -4.4286, -0.1350], [4.2979, -1.0545, -0.8562], [0.7989, -0.3357, 4.4234]],
  "species": ["Hf", "Hf", "Er", "Sn"],
  "frac_coords": [[0.0000, 0.5000, 0.0000], [0.0000, 0.0000, 0.5000], [0.5000, 0.5000, 0.5000], [0.5000, 0.0000, 0.0000]]
}

No. 7
{
  "formula": "ErHf2Sn",
  "functional": "PBE",
  "state": "relaxed",
  "magnetic_moment_mub_per_atom": 0.0000,
  "spacegroup": "P2_1/m, No. 11",
  "de_polymorph_mev_per_atom": 0,
  "ef_kj_per_mol_fu": -168,
  "lattice_angstrom": [[4.3708, 0.0000, 0.0000], [0.0000, 4.2831, -0.8472], [0.0000, -0.1029, 10.6903]],
  "species": ["Hf", "Hf", "Hf", "Hf", "Sn", "Sn", "Er", "Er"],
  "frac_coords": [[0.2500, 0.5521, 0.1049], [0.7500, 0.4479, 0.8951], [0.2500, 0.9495, 0.8984], [0.7500, 0.0505, 0.1016], [0.7500, 0.8409, 0.6796], [0.2500, 0.1591, 0.3204], [0.7500, 0.6884, 0.3788], [0.2500, 0.3116, 0.6212]]
}

No. 8
{
  "formula": "Er2HfSn",
  "functional": "PBE",
  "state": "relaxed",
  "magnetic_moment_mub_per_atom": 0.0000,
  "spacegroup": "P4/mmm, No. 123",
  "de_polymorph_mev_per_atom": 0,
  "ef_kj_per_mol_fu": -102,
  "lattice_angstrom": [[4.6522, 0.0000, 0.0000], [0.0000, 4.6318, 0.0000], [0.0000, 0.0000, 4.6318]],
  "species": ["Hf", "Sn", "Er", "Er"],
  "frac_coords": [[0.5000, 0.5000, 0.5000], [0.5000, 0.0000, 0.0000], [0.0000, 0.0000, 0.5000], [0.0000, 0.5000, 0.0000]]
}

No. 9
{
  "formula": "SrEr2Hf",
  "functional": "PBE",
  "state": "relaxed",
  "magnetic_moment_mub_per_atom": 0.0000,
  "spacegroup": "R-3m, No. 166",
  "ef_kj_per_mol_fu": 118,
  "lattice_angstrom": [[3.4680, 0.0000, 0.0000], [1.7340, 3.0033, 0.0000], [1.7340, 1.0011, 12.1843]],
  "species": ["Er", "Er", "Hf", "Sr"],
  "frac_coords": [[0.0966, 0.0966, 0.7102], [0.9034, 0.9034, 0.2898], [0.5000, 0.5000, 0.5000], [0.0000, 0.0000, 0.0000]]
}

No. 10
{
  "formula": "ErHf2Ta",
  "functional": "PBE",
  "state": "relaxed",
  "magnetic_moment_mub_per_atom": 0.0000,
  "spacegroup": "P4/mmm, No. 123",
  "de_polymorph_mev_per_atom": 0,
  "ef_kj_per_mol_fu": 63,
  "lattice_angstrom": [[-3.3305, -0.0443, -1.2560], [0.7913, -2.8376, -1.9983], [-2.0061, -4.4150, 5.4752]],
  "species": ["Hf", "Hf", "Ta", "Er"],
  "frac_coords": [[0.0000, 0.0000, 0.2046], [0.0000, 0.0000, 0.7954], [0.5000, 0.5000, 0.0000], [0.5000, 0.5000, 0.5000]]
}

No. 11
{
  "formula": "ErHf2Ta",
  "functional": "PBE",
  "state": "relaxed",
  "magnetic_moment_mub_per_atom": 0.0000,
  "spacegroup": "R-3m, No. 166",
  "de_polymorph_mev_per_atom": 176,
  "ef_kj_per_mol_fu": 131,
  "lattice_angstrom": [[3.1474, 0.0000, 0.0000], [1.5737, 2.7257, 0.0000], [1.5737, 0.9086, 10.9703]],
  "species": ["Hf", "Hf", "Er", "Ta"],
  "frac_coords": [[0.9050, 0.9050, 0.2851], [0.0950, 0.0950, 0.7149], [0.0000, 0.0000, 0.0000], [0.5000, 0.5000, 0.5000]]
}

No. 12
{
  "formula": "Tb7Er12Hf",
  "functional": "PBE",
  "state": "relaxed",
  "magnetic_moment_mub_per_atom": 0.0000,
  "spacegroup": "R-3, No. 148",
  "ef_kj_per_mol_fu": 588,
  "lattice_angstrom": [[8.4650, 0.7663, 1.1502], [-1.6177, 8.3443, 1.1502], [-1.6177, -2.1524, 8.1435]],
  "species": ["Tb", "Tb", "Tb", "Tb", "Tb", "Tb", "Tb", "Er", "Er", "Er", "Er", "Er", "Er", "Er", "Er", "Er", "Er", "Er", "Er", "Hf"],
  "frac_coords": [[0.0829, 0.3473, 0.0188], [0.9812, 0.9171, 0.6527], [0.0188, 0.0829, 0.3473], [0.6527, 0.9812, 0.9171], [0.5000, 0.5000, 0.5000], [0.3473, 0.0188, 0.0829], [0.9171, 0.6527, 0.9812], [0.5167, 0.8516, 0.5845], [0.8155, 0.2499, 0.6853], [0.1845, 0.7501, 0.3147], [0.6853, 0.8155, 0.2499], [0.1484, 0.4155, 0.4833], [0.3147, 0.1845, 0.7501], [0.8516, 0.5845, 0.5167], [0.4833, 0.1484, 0.4155], [0.4155, 0.4833, 0.1484], [0.5845, 0.5167, 0.8516], [0.2499, 0.6853, 0.8155], [0.7501, 0.3147, 0.1845], [0.0000, 0.0000, 0.0000]]
}